1.
Here is a relaxed structure of Hf2SiRu from Alexandria. Energies are from GGA-PBE.

a b c (Å): 4.621 4.621 4.621
angles (deg): 60.00 60.00 60.00
Sites, in units of the cell vectors:
1 Hf 0.250 0.250 0.250
2 Hf 0.750 0.750 0.750
3 Ru 0.500 0.500 0.500
4 Si 0.000 0.000 0.000

Calculated values
Space group   No. 225
Energy above the lowest structure with this stoichiometry   0 meV/atom

---

2.
Here is a relaxed structure of HfSiRu3 from Alexandria. Energies are from GGA-PBE.

a b c (Å): 4.875 6.090 6.090
angles (deg): 120.00 90.00 90.00
Sites, in units of the cell vectors:
1 Hf 0.750 0.666 0.334
2 Hf 0.250 0.334 0.666
3 Ru 0.250 0.813 0.626
4 Ru 0.250 0.374 0.187
5 Ru 0.750 0.187 0.813
6 Ru 0.250 0.813 0.187
7 Ru 0.750 0.187 0.374
8 Ru 0.750 0.626 0.813
9 Si 0.000 0.000 0.000
10 Si 0.500 0.000 0.000

Calculated values
Space group   No. 194
Energy above the lowest structure with this stoichiometry   0 meV/atom

---

3.
Here is a relaxed structure of HfSiRu2 from Alexandria. Energies are from GGA-PBE.

a b c (Å): 3.195 4.303 4.303
angles (deg): 90.00 90.00 90.00
Sites, in units of the cell vectors:
1 Hf 0.500 0.000 0.000
2 Ru 0.000 0.500 0.000
3 Ru 0.000 0.000 0.500
4 Si 0.500 0.500 0.500

Calculated values
Space group   No. 123

---

4.
Here is a relaxed structure of Hf3SiRu from Alexandria. Energies are from GGA-PBE.

a b c (Å): 4.797 4.797 4.797
angles (deg): 90.00 90.00 90.00
Sites, in units of the cell vectors:
1 Ru 0.500 0.500 0.500
2 Si 0.000 0.000 0.000
3 Hf 0.000 0.500 0.000
4 Hf 0.500 0.000 0.000
5 Hf 0.000 0.000 0.500

Calculated values
Space group   No. 221
Energy above the lowest structure with this stoichiometry   172 meV/atom

---

5.
Here is a relaxed structure of Hf2Si2Ru from Alexandria. Energies are from GGA-PBE.

a b c (Å): 3.838 5.213 5.213
angles (deg): 60.52 68.40 68.40
Sites, in units of the cell vectors:
1 Si 0.500 0.727 0.273
2 Si 0.500 0.273 0.727
3 Hf 0.207 0.293 0.293
4 Hf 0.793 0.707 0.707
5 Ru 0.000 0.000 0.000

Calculated values
Space group   No. 71

---

6.
Here is a relaxed structure of Hf2SiRu from Alexandria. Energies are from GGA-PBE.

a b c (Å): 7.195 7.195 5.860
angles (deg): 52.12 52.12 90.00
Sites, in units of the cell vectors:
1 Ru 0.000 0.000 0.000
2 Ru 0.750 0.250 0.500
3 Si 0.500 0.500 0.000
4 Si 0.250 0.750 0.500
5 Hf 0.875 0.889 0.750
6 Hf 0.375 0.361 0.750
7 Hf 0.111 0.625 0.250
8 Hf 0.639 0.125 0.250

Calculated values
Space group   No. 122
Energy above the lowest structure with this stoichiometry   403 meV/atom

---

7.
Here is a relaxed structure of HfSi2Ru2 from Alexandria. Energies are from GGA-PBE.

a b c (Å): 7.150 7.150 2.857
angles (deg): 90.00 90.00 90.00
Sites, in units of the cell vectors:
1 Si 0.359 0.859 0.000
2 Si 0.641 0.141 0.000
3 Si 0.859 0.641 0.000
4 Si 0.141 0.359 0.000
5 Hf 0.000 0.000 0.000
6 Hf 0.500 0.500 0.000
7 Ru 0.651 0.849 0.500
8 Ru 0.349 0.151 0.500
9 Ru 0.849 0.349 0.500
10 Ru 0.151 0.651 0.500

Calculated values
Space group   No. 127

---

8.
Here is a relaxed structure of HfSiRu from Alexandria. Energies are from GGA-PBE.

a b c (Å): 4.967 5.396 6.942
angles (deg): 90.00 90.00 90.00
Sites, in units of the cell vectors:
1 Si 0.750 0.750 0.750
2 Si 0.750 0.250 0.250
3 Si 0.250 0.750 0.750
4 Si 0.250 0.250 0.250
5 Ru 0.000 0.000 0.500
6 Ru 0.000 0.500 0.500
7 Ru 0.500 0.500 0.000
8 Ru 0.500 0.000 0.000
9 Hf 0.500 0.750 0.377
10 Hf 0.000 0.750 0.123
11 Hf 0.500 0.250 0.623
12 Hf 0.000 0.250 0.877

Calculated values
Space group   No. 74

---

9.
Here is a relaxed structure of HfSiRu2 from Alexandria. Energies are from GGA-PBE.

a b c (Å): 3.119 3.119 6.110
angles (deg): 90.00 90.00 90.00
Sites, in units of the cell vectors:
1 Ru 0.000 0.000 0.228
2 Ru 0.000 0.000 0.772
3 Hf 0.500 0.500 0.500
4 Si 0.500 0.500 0.000

Calculated values
Space group   No. 123

---

10.
Here is a relaxed structure of HfSiRu from Alexandria. Energies are from GGA-PBE.

a b c (Å): 3.684 6.661 6.661
angles (deg): 120.00 90.00 90.00
Sites, in units of the cell vectors:
1 Hf 0.500 0.416 0.416
2 Hf 0.500 0.000 0.584
3 Hf 0.500 0.584 0.000
4 Ru 0.000 0.246 0.000
5 Ru 0.000 0.000 0.246
6 Ru 0.000 0.754 0.754
7 Si 0.000 0.667 0.333
8 Si 0.500 0.000 0.000
9 Si 0.000 0.333 0.667

Calculated values
Space group   No. 189

---

11.
Here is a relaxed structure of Hf4Si6Ru7 from Alexandria. Energies are from GGA-PBE.

a b c (Å): 6.953 6.953 6.953
angles (deg): 109.47 109.47 109.47
Sites, in units of the cell vectors:
1 Hf 0.000 0.000 0.500
2 Hf 0.500 0.000 0.000
3 Hf 0.000 0.500 0.000
4 Hf 0.500 0.500 0.500
5 Si 0.689 0.000 0.689
6 Si 0.000 0.689 0.689
7 Si 0.311 0.000 0.311
8 Si 0.689 0.689 0.000
9 Si 0.311 0.311 0.000
10 Si 0.000 0.311 0.311
11 Ru 0.250 0.750 0.500
12 Ru 0.500 0.250 0.750
13 Ru 0.750 0.250 0.500
14 Ru 0.750 0.500 0.250
15 Ru 0.000 0.000 0.000
16 Ru 0.500 0.750 0.250
17 Ru 0.250 0.500 0.750

Calculated values
Space group   No. 229

---

12.
Here is a relaxed structure of HfSiRu2 from Alexandria. Energies are from GGA-PBE.

a b c (Å): 6.867 6.867 5.609
angles (deg): 52.26 52.26 90.00
Sites, in units of the cell vectors:
1 Ru 0.563 0.125 0.250
2 Ru 0.875 0.813 0.750
3 Ru 0.375 0.437 0.750
4 Ru 0.187 0.625 0.250
5 Si 0.500 0.500 0.000
6 Si 0.250 0.750 0.500
7 Hf 0.000 0.000 0.000
8 Hf 0.750 0.250 0.500

Calculated values
Space group   No. 122

---

13.
Here is a relaxed structure of Hf2Si4Ru3 from Alexandria. Energies are from GGA-PBE.

a b c (Å): 9.863 9.863 13.297
angles (deg): 54.05 54.05 31.47
Sites, in units of the cell vectors:
1 Hf 0.445 0.702 0.852
2 Hf 0.294 0.038 0.138
3 Hf 0.706 0.962 0.862
4 Hf 0.555 0.298 0.148
5 Hf 0.702 0.445 0.352
6 Hf 0.962 0.706 0.362
7 Hf 0.298 0.555 0.648
8 Hf 0.038 0.294 0.638
9 Si 0.971 0.255 0.894
10 Si 0.914 0.427 0.436
11 Si 0.086 0.573 0.564
12 Si 0.029 0.745 0.106
13 Si 0.388 0.143 0.395
14 Si 0.573 0.086 0.064
15 Si 0.128 0.872 0.750
16 Si 0.857 0.612 0.105
17 Si 0.612 0.857 0.605
18 Si 0.143 0.388 0.895
19 Si 0.872 0.128 0.250
20 Si 0.255 0.971 0.394
21 Si 0.619 0.381 0.750
22 Si 0.427 0.914 0.936
23 Si 0.745 0.029 0.606
24 Si 0.381 0.619 0.250
25 Ru 0.175 0.350 0.220
26 Ru 0.350 0.175 0.720
27 Ru 0.479 0.766 0.568
28 Ru 0.092 0.866 0.416
29 Ru 0.866 0.092 0.916
30 Ru 0.766 0.479 0.068
31 Ru 0.234 0.521 0.932
32 Ru 0.134 0.908 0.084
33 Ru 0.908 0.134 0.584
34 Ru 0.650 0.825 0.280
35 Ru 0.825 0.650 0.780
36 Ru 0.521 0.234 0.432

Calculated values
Space group   No. 15

---

14.
Here is a relaxed structure of Hf3SiRu from Alexandria. Energies are from GGA-PBE.

a b c (Å): 4.911 4.911 4.911
angles (deg): 90.00 90.00 90.00
Sites, in units of the cell vectors:
1 Ru 0.000 0.000 0.000
2 Hf 0.000 0.000 0.500
3 Hf 0.000 0.500 0.000
4 Hf 0.500 0.000 0.000
5 Si 0.500 0.500 0.500

Calculated values
Space group   No. 221
Energy above the lowest structure with this stoichiometry   0 meV/atom

---

15.
Here is a relaxed structure of HfSiRu from Alexandria. Energies are from GGA-PBE.

a b c (Å): 7.599 7.599 7.599
angles (deg): 127.93 121.98 81.70
Sites, in units of the cell vectors:
1 Ru 0.098 0.253 0.103
2 Ru 0.000 0.500 0.500
3 Ru 0.350 0.005 0.603
4 Ru 0.500 0.500 0.000
5 Ru 0.902 0.005 0.155
6 Ru 0.650 0.253 0.655
7 Si 0.162 0.923 0.750
8 Si 0.726 0.222 0.995
9 Si 0.274 0.269 0.495
10 Si 0.327 0.588 0.250
11 Si 0.673 0.923 0.261
12 Si 0.838 0.588 0.761
13 Hf 0.052 0.257 0.705
14 Hf 0.469 0.696 0.727
15 Hf 0.747 0.832 0.584
16 Hf 0.531 0.258 0.227
17 Hf 0.253 0.837 0.084
18 Hf 0.948 0.652 0.205

Calculated values
Space group   No. 46

---

16.
Here is a relaxed structure of HfSiRu from Alexandria. Energies are from GGA-PBE.

a b c (Å): 5.073 6.223 5.966
angles (deg): 90.00 90.00 90.00
Sites, in units of the cell vectors:
1 Si 0.000 0.500 0.563
2 Si 0.000 0.000 0.063
3 Si 0.500 0.000 0.063
4 Si 0.500 0.500 0.563
5 Hf 0.250 0.642 0.191
6 Hf 0.750 0.358 0.191
7 Hf 0.750 0.142 0.691
8 Hf 0.250 0.858 0.691
9 Ru 0.250 0.190 0.368
10 Ru 0.750 0.690 0.868
11 Ru 0.250 0.310 0.868
12 Ru 0.750 0.810 0.368

Calculated values
Space group   No. 46

---

17.
Here is a relaxed structure of HfSiRu from Alexandria. Energies are from GGA-PBE.

a b c (Å): 4.231 4.231 3.118
angles (deg): 90.00 90.00 120.00
Sites, in units of the cell vectors:
1 Si 0.667 0.333 0.500
2 Ru 0.333 0.667 0.500
3 Hf 0.000 0.000 0.000

Calculated values
Space group   No. 187

---

18.
Here is a relaxed structure of HfSiRu2 from Alexandria. Energies are from GGA-PBE.

a b c (Å): 4.372 4.373 4.372
angles (deg): 59.99 59.99 59.99
Sites, in units of the cell vectors:
1 Si 0.250 0.250 0.250
2 Hf 0.750 0.750 0.750
3 Ru 0.000 0.000 0.000
4 Ru 0.500 0.500 0.500

Calculated values
Space group   No. 225

---

19.
Here is a relaxed structure of HfSiRu3 from Alexandria. Energies are from GGA-PBE.

a b c (Å): 4.360 4.360 4.360
angles (deg): 90.00 90.00 90.00
Sites, in units of the cell vectors:
1 Hf 0.500 0.500 0.500
2 Si 0.000 0.000 0.000
3 Ru 0.500 0.000 0.000
4 Ru 0.000 0.500 0.000
5 Ru 0.000 0.000 0.500

Calculated values
Space group   No. 221
Energy above the lowest structure with this stoichiometry   189 meV/atom

---

20.
Here is a relaxed structure of HfSiRu3 from Alexandria. Energies are from GGA-PBE.

a b c (Å): 4.720 4.720 4.720
angles (deg): 90.00 90.00 90.00
Each line ends with the local moment (μB).
Sites, in units of the cell vectors:
1 Ru 0.500 0.000 0.000  0.31
2 Ru 0.000 0.500 0.000  0.48
3 Ru 0.000 0.000 0.500  0.43
4 Si 0.500 0.500 0.500  -0.03
5 Hf 0.000 0.000 0.000  -0.07

Calculated values
Space group   No. 221
Energy above the lowest structure with this stoichiometry   1948 meV/atom

---

Number 1: total magnetization 0.00 μB/cell, E -9.048 eV per atom, ΔE_f (raw) -0.396 eV/atom. Number 2: total magnetization 0.00 μB/cell, E -8.870 eV per atom, ΔE_f (raw) -0.229 eV/atom. Number 3: total magnetization 0.00 μB/cell, E -9.221 eV per atom, ΔE_f (raw) -0.739 eV/atom. Number 4: total magnetization 0.00 μB/cell, E -8.332 eV per atom, ΔE_f (raw) 0.580 eV/atom. Number 5: total magnetization 0.00 μB/cell, E -8.871 eV per atom, ΔE_f (raw) -0.866 eV/atom. Number 6: total magnetization 0.00 μB/cell, E -8.644 eV per atom, ΔE_f (raw) 0.007 eV/atom. Number 7: total magnetization 0.00 μB/cell, E -8.445 eV per atom, ΔE_f (raw) -0.575 eV/atom. Number 8: total magnetization 0.00 μB/cell, E -8.944 eV per atom, ΔE_f (raw) -0.726 eV/atom. Number 9: total magnetization 0.00 μB/cell, E -9.187 eV per atom, ΔE_f (raw) -0.705 eV/atom. Number 10: total magnetization 0.00 μB/cell, E -9.166 eV per atom, ΔE_f (raw) -0.948 eV/atom. Number 11: total magnetization 0.00 μB/cell, E -8.863 eV per atom, ΔE_f (raw) -0.788 eV/atom. Number 12: total magnetization 0.00 μB/cell, E -8.651 eV per atom, ΔE_f (raw) -0.169 eV/atom. Number 13: total magnetization 0.00 μB/cell, E -8.557 eV per atom, ΔE_f (raw) -0.843 eV/atom. Number 14: total magnetization 0.00 μB/cell, E -8.504 eV per atom, ΔE_f (raw) 0.408 eV/atom. Number 15: total magnetization 0.00 μB/cell, E -9.173 eV per atom, ΔE_f (raw) -0.955 eV/atom. Number 16: total magnetization 0.00 μB/cell, E -8.919 eV per atom, ΔE_f (raw) -0.701 eV/atom. Number 17: total magnetization 0.00 μB/cell, E -8.931 eV per atom, ΔE_f (raw) -0.713 eV/atom. Number 18: total magnetization 0.00 μB/cell, E -9.279 eV per atom, ΔE_f (raw) -0.797 eV/atom. Number 19: total magnetization 0.00 μB/cell, E -8.681 eV per atom, ΔE_f (raw) -0.040 eV/atom. Number 20: total magnetization 1.10 μB/cell, E -6.921 eV per atom, ΔE_f (raw) 1.720 eV/atom.